Compound: TaP2Rh
Source: Alexandria via LeMat-Bulk
Functional: PBE
Structure: relaxed

Geometry as POSCAR:
```
TaP2Rh
1.0
-0.923 2.496 -3.944
-0.242 -0.475 -4.728
-4.083 -0.771 -0.627
P Rh Ta
2 1 1
Direct
0.000 0.000 0.060
0.743 0.743 0.682
0.491 0.491 0.582
0.265 0.265 0.176
```

## Properties
E   -0.2943 Ha/atom
DOS(E_F)   1.49 states/eV/cell
ΔH_f (0 K)   -0.503 eV/atom



Compound: Pm2Ho5Er3
Source: Alexandria via LeMat-Bulk
Functional: PBE
Structure: relaxed

Geometry as POSCAR:
```
Pm2Ho5Er3
1.0
-6.850 4.528 -4.579
1.763 0.508 -9.263
-1.224 -9.321 5.831
Pm Ho Er
4 10 6
Direct
0.778 0.015 0.747
0.222 0.985 0.253
0.468 0.732 0.747
0.532 0.268 0.253
0.278 0.528 0.056
0.722 0.472 0.944
0.018 0.768 0.537
0.523 0.273 0.545
0.982 0.232 0.463
0.477 0.727 0.455
0.870 0.614 0.764
0.130 0.386 0.236
0.394 0.150 0.764
0.606 0.850 0.236
0.227 0.977 0.955
0.773 0.023 0.045
0.729 0.463 0.242
0.271 0.537 0.758
0.013 0.779 0.242
0.987 0.221 0.758
```

## Properties
E   -0.1620 Ha/atom
DOS(E_F)   36.33 states/eV/cell
ΔH_f (0 K)   0.199 eV/atom



Compound: Nd4PSe2S
Source: Alexandria via LeMat-Bulk
Functional: PBE
Structure: relaxed

Geometry as POSCAR:
```
Nd4PSe2S
1.0
-1.411 2.377 -3.093
-6.225 0.843 3.487
4.605 5.343 2.005
Nd P Se S
4 1 2 1
Direct
0.500 0.247 0.229
0.500 0.753 0.771
0.000 0.260 0.771
0.000 0.740 0.229
0.500 0.500 0.000
0.500 0.000 0.500
0.000 0.500 0.500
0.000 0.000 0.000
```

## Properties
E   -0.2321 Ha/atom
DOS(E_F)   3.11 states/eV/cell
Formation energy without anion corrections   -1.870 eV per atom



Compound: NaTc2O4
Source: Alexandria via LeMat-Bulk
Functional: PBE
Structure: relaxed

Geometry as POSCAR:
```
NaTc2O4
1.0
-2.453 4.154 3.558
-1.180 1.823 -5.587
-2.066 -6.707 1.423
Na Tc O
2 4 8
Direct
0.338 0.784 0.520
0.034 0.088 0.020
0.596 0.779 0.163
0.643 0.448 0.856
0.029 0.346 0.663
0.698 0.393 0.356
0.818 0.586 0.708
0.260 0.153 0.680
0.902 0.175 0.296
0.403 0.010 0.180
0.810 0.208 0.777
0.458 0.560 0.277
0.836 0.568 0.208
0.425 0.652 0.796
```

## Properties
E   -0.2644 Ha/atom
DOS(E_F)   4.29 states/eV/cell
Formation energy without anion corrections   -1.212 eV per atom



Compound: Co6NiPt4
Source: Alexandria via LeMat-Bulk
Functional: PBE
Structure: relaxed

Geometry as POSCAR:
```
Co6NiPt4
1.0
5.479 -2.124 -4.009
-3.782 5.868 1.368
-1.369 2.124 6.650
Co Ni Pt
6 1 4
Direct
0.000 0.812 0.422
0.000 0.422 0.812
0.390 0.578 0.578
0.500 0.500 0.000
0.610 0.188 0.188
0.500 0.000 0.500
0.000 0.000 0.000
0.000 0.618 0.023
0.405 0.382 0.382
0.000 0.023 0.618
0.595 0.977 0.977
```

## Properties
E   -0.2366 Ha/atom
DOS(E_F)   12.83 states/eV/cell
ΔH_f (0 K)   0.160 eV/atom



Compound: MnGa2Te
Source: Alexandria via LeMat-Bulk
Functional: PBE
Structure: relaxed

Geometry as POSCAR:
```
MnGa2Te
1.0
6.523 0.000 0.000
0.000 6.523 0.000
3.262 3.262 5.272
Mn Te Ga
2 2 4
Direct
0.500 0.500 0.000
0.250 0.750 0.500
0.000 0.000 0.000
0.750 0.250 0.500
0.599 0.125 0.250
0.151 0.625 0.250
0.375 0.401 0.750
0.875 0.849 0.750
```

## Properties
E   -0.1553 Ha/atom
DOS(E_F)   6.55 states/eV/cell
Formation energy without anion corrections   0.366 eV per atom



Compound: Nd3Pt
Source: Alexandria via LeMat-Bulk
Functional: PBE
Structure: relaxed

Geometry as POSCAR:
```
Nd3Pt
1.0
-3.563 1.210 -0.327
-1.149 -4.415 -3.824
0.889 -1.596 6.210
Nd Pt
3 1
Direct
0.303 0.676 0.605
0.500 0.398 0.000
0.697 0.071 0.395
0.000 0.021 0.000
```

## Properties
E   -0.2055 Ha/atom
DOS(E_F)   6.44 states/eV/cell
ΔH_f (0 K)   -0.506 eV/atom



Compound: KTlSbAu2
Source: Alexandria via LeMat-Bulk
Functional: PBE
Structure: relaxed

Geometry as POSCAR:
```
KTlSbAu2
1.0
-0.470 3.388 -4.124
-4.970 1.232 1.579
2.175 4.428 3.389
Sb Tl Au K
1 1 2 1
Direct
0.000 0.000 0.000
0.000 0.000 0.500
0.000 0.500 0.000
0.500 0.000 0.000
0.500 0.500 0.500
```

## Properties
E   -0.1038 Ha/atom
DOS(E_F)   1.39 states/eV/cell
Formation energy without anion corrections   0.005 eV per atom